# 1
{"formula": "LaMg5", "functional": "GGA-PBEsol", "state": "relaxed", "e_tot_ev_per_atom": -2.341, "ef_ev_per_atom": -0.02, "lattice": [[0.000, 4.242, 4.242], [4.242, 0.000, 4.242], [4.242, 4.242, 0.000]], "species": ["La", "Mg", "Mg", "Mg", "Mg", "Mg"], "fractional_positions": [[0.000, 0.000, 0.000], [0.375, 0.375, 0.375], [0.375, 0.375, 0.876], [0.375, 0.876, 0.375], [0.750, 0.750, 0.750], [0.876, 0.375, 0.375]]}


# 2
{"formula": "La8Mg", "functional": "GGA-PBEsol", "state": "relaxed", "e_tot_ev_per_atom": -4.941, "ef_ev_per_atom": 0.00, "lattice": [[-5.396, 5.396, 2.541], [5.396, -5.396, 2.541], [5.396, 5.396, -2.541]], "species": ["La", "La", "La", "La", "La", "La", "La", "La", "Mg"], "fractional_positions": [[0.000, 0.328, 0.328], [0.000, 0.672, 0.672], [0.328, 0.000, 0.328], [0.331, 0.331, 0.663], [0.331, 0.669, 0.000], [0.669, 0.331, 0.000], [0.669, 0.669, 0.337], [0.672, 0.000, 0.672], [0.000, 0.000, 0.000]]}


Please write out number 2 again, unchanged.
{"formula": "La8Mg", "functional": "GGA-PBEsol", "state": "relaxed", "e_tot_ev_per_atom": -4.941, "ef_ev_per_atom": 0.00, "lattice": [[-5.396, 5.396, 2.541], [5.396, -5.396, 2.541], [5.396, 5.396, -2.541]], "species": ["La", "La", "La", "La", "La", "La", "La", "La", "Mg"], "fractional_positions": [[0.000, 0.328, 0.328], [0.000, 0.672, 0.672], [0.328, 0.000, 0.328], [0.331, 0.331, 0.663], [0.331, 0.669, 0.000], [0.669, 0.331, 0.000], [0.669, 0.669, 0.337], [0.672, 0.000, 0.672], [0.000, 0.000, 0.000]]}